{"formula": "Ag2PAu2", "functional": "PBE-GGA", "state": "optimized geometry", "lattice_angstrom": [[-4.237, 3.794, -3.298], [-4.994, -2.685, 3.328], [0.380, 3.084, 3.059]], "species": ["Ag", "Au", "Ag", "P", "Ag", "Ag", "Au", "P", "Au", "Au"], "frac_coords": [[0.846, 0.346, 0.500], [0.656, 0.156, 0.000], [0.654, 0.846, 0.500], [0.500, 0.500, 0.000], [0.346, 0.154, 0.500], [0.154, 0.654, 0.500], [0.344, 0.844, 0.000], [0.000, 0.000, 0.000], [0.844, 0.656, 0.000], [0.156, 0.344, 0.000]], "formation_enthalpy_0k_mev_per_atom": 197, "relative_energy_ev_per_atom": 0.000, "total_energy_ev_per_atom": -3.34}